# TcW4Au PBE optimized geometry
# E ... -10.423 eV/atom
# Formation energy ... 486 meV per atom
data_TcW4Au
_chemical_formula_sum 'Tc4 W16 Au4'
_cell_length_a 7.404
_cell_length_b 7.404
_cell_length_c 7.404
_cell_angle_alpha 90.00
_cell_angle_beta 90.00
_cell_angle_gamma 90.00
_symmetry_space_group_name_H-M 'F -4 3 m'
_symmetry_Int_Tables_number 216
_symmetry_space_group_name_Hall 'F -4 2 3'
loop_
_atom_site_label
_atom_site_type_symbol
_atom_site_fract_x
_atom_site_fract_y
_atom_site_fract_z
_atom_site_occupancy
Tc1 Tc 0.000 0.000 0.000 1
W1 W 0.124 0.124 0.624 1
Au1 Au 0.250 0.250 0.250 1



# Tc2WAu PBE optimized geometry
# E ... -9.017 eV/atom
# Formation energy ... 224 meV per atom
data_Tc2WAu
_chemical_formula_sum 'Tc6 W3 Au3'
_cell_length_a 2.7964
_cell_length_b 2.7964
_cell_length_c 28.0282
_cell_angle_alpha 90.00
_cell_angle_beta 90.00
_cell_angle_gamma 120.00
_symmetry_space_group_name_H-M 'R 3 m'
_symmetry_Int_Tables_number 160
_symmetry_space_group_name_Hall 'R 3 -2"'
loop_
_atom_site_label
_atom_site_type_symbol
_atom_site_fract_x
_atom_site_fract_y
_atom_site_fract_z
_atom_site_occupancy
Tc1 Tc 0.0000 0.0000 0.0000 1
Tc2 Tc 0.0000 0.0000 0.2584 1
W1 W 0.0000 0.0000 0.7506 1
Au1 Au 0.0000 0.0000 0.5042 1



# Tc2WAu PBE optimized geometry
# E ... -8.903 eV/atom
# Formation energy ... 338 meV per atom
data_Tc2WAu
_chemical_formula_sum 'Tc2 W1 Au1'
_cell_length_a 3.340
_cell_length_b 3.340
_cell_length_c 5.767
_cell_angle_alpha 90.00
_cell_angle_beta 90.00
_cell_angle_gamma 90.00
_symmetry_space_group_name_H-M 'P 4 m m'
_symmetry_Int_Tables_number 99
loop_
_symmetry_equiv_pos_as_xyz
'x,y,z'
'-y,x,z'
'-x,-y,z'
'y,-x,z'
'-x,y,z'
'y,x,z'
'x,-y,z'
'-y,-x,z'
loop_
_atom_site_label
_atom_site_type_symbol
_atom_site_fract_x
_atom_site_fract_y
_atom_site_fract_z
_atom_site_occupancy
Tc1 Tc 0.000 0.000 0.000 1
Tc2 Tc 0.500 0.500 0.210 1
W1 W 0.000 0.000 0.435 1
Au1 Au 0.500 0.500 0.717 1



# Tc2WAu PBE optimized geometry
# E ... -8.883 eV/atom
# Formation energy ... 358 meV per atom
data_Tc2WAu
_chemical_formula_sum 'Tc8 W4 Au4'
_cell_length_a 6.318
_cell_length_b 6.318
_cell_length_c 6.318
_cell_angle_alpha 90.00
_cell_angle_beta 90.00
_cell_angle_gamma 90.00
_symmetry_space_group_name_H-M 'F m -3 m'
_symmetry_Int_Tables_number 225
_symmetry_space_group_name_Hall '-F 4 2 3'
loop_
_atom_site_label
_atom_site_type_symbol
_atom_site_fract_x
_atom_site_fract_y
_atom_site_fract_z
_atom_site_occupancy
Tc1 Tc 0.250 0.250 0.250 1
W1 W 0.000 0.000 0.000 1
Au1 Au 0.000 0.000 0.500 1



# Tc3WAu PBE optimized geometry
# E ... -6.696 eV/atom
# Formation energy ... 2769 meV per atom
data_Tc3WAu
_chemical_formula_sum 'Tc3 W1 Au1'
_cell_length_a 4.700
_cell_length_b 4.700
_cell_length_c 4.700
_cell_angle_alpha 90.00
_cell_angle_beta 90.00
_cell_angle_gamma 90.00
_symmetry_space_group_name_H-M 'P m -3 m'
_symmetry_Int_Tables_number 221
_symmetry_space_group_name_Hall '-P 4 2 3'
loop_
_atom_site_label
_atom_site_type_symbol
_atom_site_fract_x
_atom_site_fract_y
_atom_site_fract_z
_atom_site_occupancy
Tc1 Tc 0.000 0.000 0.500 1
W1 W 0.500 0.500 0.500 1
Au1 Au 0.000 0.000 0.000 1



# Tc3WAu PBE optimized geometry
# E ... -7.719 eV/atom
# Formation energy ... 1747 meV per atom
data_Tc3WAu
_chemical_formula_sum 'Tc3 W1 Au1'
_cell_length_a 4.698
_cell_length_b 4.698
_cell_length_c 4.698
_cell_angle_alpha 90.00
_cell_angle_beta 90.00
_cell_angle_gamma 90.00
_symmetry_space_group_name_H-M 'P m -3 m'
_symmetry_Int_Tables_number 221
_symmetry_space_group_name_Hall '-P 4 2 3'
loop_
_atom_site_label
_atom_site_type_symbol
_atom_site_fract_x
_atom_site_fract_y
_atom_site_fract_z
_atom_site_occupancy
Tc1 Tc 0.000 0.000 0.500 1
W1 W 0.000 0.000 0.000 1
Au1 Au 0.500 0.500 0.500 1



# Tc2WAu PBE optimized geometry
# E ... -8.973 eV/atom
# Formation energy ... 268 meV per atom
data_Tc2WAu
_chemical_formula_sum 'Tc6 W3 Au3'
_cell_length_a 2.8264
_cell_length_b 2.8264
_cell_length_c 27.6151
_cell_angle_alpha 90.00
_cell_angle_beta 90.00
_cell_angle_gamma 120.00
_symmetry_space_group_name_H-M 'R -3 m'
_symmetry_Int_Tables_number 166
_symmetry_space_group_name_Hall '-R 3 2"'
loop_
_atom_site_label
_atom_site_type_symbol
_atom_site_fract_x
_atom_site_fract_y
_atom_site_fract_z
_atom_site_occupancy
Tc1 Tc 0.0000 0.0000 0.2457 1
W1 W 0.0000 0.0000 0.5000 1
Au1 Au 0.0000 0.0000 0.0000 1



# Tc2WAu PBE optimized geometry
# E ... -9.059 eV/atom
# Formation energy ... 182 meV per atom
data_Tc2WAu
_chemical_formula_sum 'Tc2 W1 Au1'
_cell_length_a 4.001
_cell_length_b 4.001
_cell_length_c 3.859
_cell_angle_alpha 90.00
_cell_angle_beta 90.00
_cell_angle_gamma 90.00
_symmetry_space_group_name_H-M 'P 4/m m m'
_symmetry_Int_Tables_number 123
_symmetry_space_group_name_Hall '-P 4 2'
loop_
_atom_site_label
_atom_site_type_symbol
_atom_site_fract_x
_atom_site_fract_y
_atom_site_fract_z
_atom_site_occupancy
Tc1 Tc 0.000 0.500 0.000 1
W1 W 0.000 0.000 0.500 1
Au1 Au 0.500 0.500 0.500 1



# Tc2WAu PBE optimized geometry
# E ... -8.358 eV/atom
# Formation energy ... 883 meV per atom
data_Tc2WAu
_chemical_formula_sum 'Tc8 W4 Au4'
_cell_length_a 3.894
_cell_length_b 3.894
_cell_length_c 18.433
_cell_angle_alpha 90.00
_cell_angle_beta 90.00
_cell_angle_gamma 90.00
_symmetry_space_group_name_H-M 'I -4 2 d'
_symmetry_Int_Tables_number 122
_symmetry_space_group_name_Hall 'I -4 2bw'
loop_
_atom_site_label
_atom_site_type_symbol
_atom_site_fract_x
_atom_site_fract_y
_atom_site_fract_z
_atom_site_occupancy
Tc1 Tc 0.197 0.250 0.125 1
W1 W 0.000 0.000 0.000 1
Au1 Au 0.000 0.000 0.500 1



# Tc2WAu PBE optimized geometry
# E ... -8.984 eV/atom
# Formation energy ... 257 meV per atom
data_Tc2WAu
_chemical_formula_sum 'Tc4 W2 Au2'
_cell_length_a 3.193
_cell_length_b 4.436
_cell_length_c 9.037
_cell_angle_alpha 90.00
_cell_angle_beta 90.00
_cell_angle_gamma 90.00
_symmetry_space_group_name_H-M 'C m m m'
_symmetry_Int_Tables_number 65
_symmetry_space_group_name_Hall '-C 2 2'
loop_
_atom_site_label
_atom_site_type_symbol
_atom_site_fract_x
_atom_site_fract_y
_atom_site_fract_z
_atom_site_occupancy
Tc1 Tc 0.000 0.000 0.234 1
W1 W 0.000 0.500 0.000 1
Au1 Au 0.000 0.500 0.500 1



# Tc2WAu PBE optimized geometry
# E ... -9.008 eV/atom
# Formation energy ... 232 meV per atom
data_Tc2WAu
_chemical_formula_sum 'Tc2 W1 Au1'
_cell_length_a 2.876
_cell_length_b 3.891
_cell_length_c 5.684
_cell_angle_alpha 90.00
_cell_angle_beta 90.00
_cell_angle_gamma 90.00
_symmetry_space_group_name_H-M 'P m m m'
_symmetry_Int_Tables_number 47
loop_
_symmetry_equiv_pos_as_xyz
'x,y,z'
'-x,-y,-z'
'-x,-y,z'
'x,y,-z'
'x,-y,-z'
'-x,y,z'
'-x,y,-z'
'x,-y,z'
loop_
_atom_site_label
_atom_site_type_symbol
_atom_site_fract_x
_atom_site_fract_y
_atom_site_fract_z
_atom_site_occupancy
Tc1 Tc 0.000 0.000 0.223 1
W1 W 0.500 0.500 0.000 1
Au1 Au 0.500 0.500 0.500 1



# Tc2WAu PBE optimized geometry
# E ... -8.978 eV/atom
# Formation energy ... 262 meV per atom
data_Tc2WAu
_chemical_formula_sum 'Tc4 W2 Au2'
_cell_length_a 4.017
_cell_length_b 4.017
_cell_length_c 7.716
_cell_angle_alpha 90.00
_cell_angle_beta 90.00
_cell_angle_gamma 90.00
_symmetry_space_group_name_H-M 'I 4/m m m'
_symmetry_Int_Tables_number 139
_symmetry_space_group_name_Hall '-I 4 2'
loop_
_atom_site_label
_atom_site_type_symbol
_atom_site_fract_x
_atom_site_fract_y
_atom_site_fract_z
_atom_site_occupancy
Tc1 Tc 0.000 0.500 0.250 1
W1 W 0.000 0.000 0.000 1
Au1 Au 0.000 0.000 0.500 1



# Tc2WAu PBE optimized geometry
# E ... -8.702 eV/atom
# Formation energy ... 539 meV per atom
data_Tc2WAu
_chemical_formula_sum 'Tc8 W4 Au4'
_cell_length_a 6.332
_cell_length_b 6.332
_cell_length_c 6.332
_cell_angle_alpha 90.00
_cell_angle_beta 90.00
_cell_angle_gamma 90.00
_symmetry_space_group_name_H-M 'F -4 3 m'
_symmetry_Int_Tables_number 216
_symmetry_space_group_name_Hall 'F -4 2 3'
loop_
_atom_site_label
_atom_site_type_symbol
_atom_site_fract_x
_atom_site_fract_y
_atom_site_fract_z
_atom_site_occupancy
Tc1 Tc 0.000 0.000 0.000 1
Tc2 Tc 0.250 0.250 0.250 1
W1 W 0.000 0.000 0.500 1
Au1 Au 0.250 0.250 0.750 1



# Tc2WAu PBE optimized geometry
# E ... -8.956 eV/atom
# Formation energy ... 285 meV per atom
data_Tc2WAu
_chemical_formula_sum 'Tc4 W2 Au2'
_cell_length_a 9.211
_cell_length_b 2.873
_cell_length_c 4.862
_cell_angle_alpha 90.00
_cell_angle_beta 101.37
_cell_angle_gamma 90.00
_symmetry_space_group_name_H-M 'C 1 2/m 1'
_symmetry_Int_Tables_number 12
loop_
_symmetry_equiv_pos_as_xyz
'x,y,z'
'-x,-y,-z'
'-x,y,-z'
'x,-y,z'
'x+1/2,y+1/2,z'
'-x+1/2,-y+1/2,-z'
'-x+1/2,y+1/2,-z'
'x+1/2,-y+1/2,z'
loop_
_atom_site_label
_atom_site_type_symbol
_atom_site_fract_x
_atom_site_fract_y
_atom_site_fract_z
_atom_site_occupancy
Tc1 Tc 0.243 0.000 0.232 1
W1 W 0.000 0.500 0.000 1
Au1 Au 0.000 0.000 0.500 1



# YTc2Au PBE optimized geometry
# E ... -7.283 eV/atom
# Formation energy ... 335 meV per atom
data_YTc2Au
_chemical_formula_sum 'Y1 Tc2 Au1'
_cell_length_a 3.521
_cell_length_b 3.521
_cell_length_c 6.259
_cell_angle_alpha 90.00
_cell_angle_beta 90.00
_cell_angle_gamma 90.00
_symmetry_space_group_name_H-M 'P 4/m m m'
_symmetry_Int_Tables_number 123
_symmetry_space_group_name_Hall '-P 4 2'
loop_
_atom_site_label
_atom_site_type_symbol
_atom_site_fract_x
_atom_site_fract_y
_atom_site_fract_z
_atom_site_occupancy
Y1 Y 0.000 0.000 0.000 1
Tc1 Tc 0.500 0.500 0.310 1
Au1 Au 0.000 0.000 0.500 1



# YTcAu PBE optimized geometry
# E ... -6.660 eV/atom
# Formation energy ... 42 meV per atom
data_YTcAu
_chemical_formula_sum 'Y2 Tc2 Au2'
_cell_length_a 3.529
_cell_length_b 3.529
_cell_length_c 9.705
_cell_angle_alpha 90.00
_cell_angle_beta 90.00
_cell_angle_gamma 90.00
_symmetry_space_group_name_H-M 'I 4 m m'
_symmetry_Int_Tables_number 107
_symmetry_space_group_name_Hall 'I 4 -2'
loop_
_atom_site_label
_atom_site_type_symbol
_atom_site_fract_x
_atom_site_fract_y
_atom_site_fract_z
_atom_site_occupancy
Y1 Y 0.000 0.000 0.000 1
Tc1 Tc 0.000 0.000 0.685 1
Au1 Au 0.000 0.000 0.310 1



# YTc2Au PBE optimized geometry
# E ... -7.715 eV/atom
# Formation energy ... -96 meV per atom
data_YTc2Au
_chemical_formula_sum 'Y1 Tc2 Au1'
_cell_length_a 3.130
_cell_length_b 3.130
_cell_length_c 7.561
_cell_angle_alpha 90.00
_cell_angle_beta 90.00
_cell_angle_gamma 90.00
_symmetry_space_group_name_H-M 'P 4 m m'
_symmetry_Int_Tables_number 99
loop_
_symmetry_equiv_pos_as_xyz
'x,y,z'
'-y,x,z'
'-x,-y,z'
'y,-x,z'
'-x,y,z'
'y,x,z'
'x,-y,z'
'-y,-x,z'
loop_
_atom_site_label
_atom_site_type_symbol
_atom_site_fract_x
_atom_site_fract_y
_atom_site_fract_z
_atom_site_occupancy
Y1 Y 0.000 0.000 0.000 1
Tc1 Tc 0.000 0.000 0.543 1
Tc2 Tc 0.500 0.500 0.717 1
Au1 Au 0.500 0.500 0.287 1



# YTc2Au PBE optimized geometry
# E ... -7.664 eV/atom
# Formation energy ... -46 meV per atom
data_YTc2Au
_chemical_formula_sum 'Y3 Tc6 Au3'
_cell_length_a 4.2867
_cell_length_b 4.2867
_cell_length_c 15.5853
_cell_angle_alpha 90.00
_cell_angle_beta 90.00
_cell_angle_gamma 120.00
_symmetry_space_group_name_H-M 'R 3 m'
_symmetry_Int_Tables_number 160
_symmetry_space_group_name_Hall 'R 3 -2"'
loop_
_atom_site_label
_atom_site_type_symbol
_atom_site_fract_x
_atom_site_fract_y
_atom_site_fract_z
_atom_site_occupancy
Y1 Y 0.0000 0.0000 0.0000 1
Tc1 Tc 0.0000 0.0000 0.4679 1
Tc2 Tc 0.0000 0.0000 0.7975 1
Au1 Au 0.0000 0.0000 0.2225 1



# YTcAu PBE optimized geometry
# E ... -6.727 eV/atom
# Formation energy ... -25 meV per atom
data_YTcAu
_chemical_formula_sum 'Y1 Tc1 Au1'
_cell_length_a 4.5270
_cell_length_b 4.5270
_cell_length_c 3.5414
_cell_angle_alpha 90.00
_cell_angle_beta 90.00
_cell_angle_gamma 120.00
_symmetry_space_group_name_H-M 'P -6 m 2'
_symmetry_Int_Tables_number 187
_symmetry_space_group_name_Hall 'P -6 2'
loop_
_atom_site_label
_atom_site_type_symbol
_atom_site_fract_x
_atom_site_fract_y
_atom_site_fract_z
_atom_site_occupancy
Y1 Y 0.0000 0.0000 0.0000 1
Tc1 Tc 0.6667 0.3333 0.5000 1
Au1 Au 0.3333 0.6667 0.5000 1



# YTcAu PBE optimized geometry
# E ... -6.353 eV/atom
# Formation energy ... 349 meV per atom
data_YTcAu
_chemical_formula_sum 'Y1 Tc1 Au1'
_cell_length_a 3.2805
_cell_length_b 3.2805
_cell_length_c 6.7012
_cell_angle_alpha 90.00
_cell_angle_beta 90.00
_cell_angle_gamma 120.00
_symmetry_space_group_name_H-M 'P 3 m 1'
_symmetry_Int_Tables_number 156
loop_
_symmetry_equiv_pos_as_xyz
'x,y,z'
'-y,x-y,z'
'-x+y,-x,z'
'-y,-x,z'
'-x+y,y,z'
'x,x-y,z'
loop_
_atom_site_label
_atom_site_type_symbol
_atom_site_fract_x
_atom_site_fract_y
_atom_site_fract_z
_atom_site_occupancy
Y1 Y 0.0000 0.0000 0.0000 1
Tc1 Tc 0.3333 0.6667 0.6727 1
Au1 Au 0.6667 0.3333 0.3557 1